(1)
Here is Y3AlN after structural relaxation from Alexandria. Energies are from PBE-GGA.

The structure in POSCAR format:
```
Y3AlN
1.0
3.291 1.900 6.253
-3.291 1.900 6.253
0.000 -3.800 6.253
Y Al N
6 2 2
direct
0.079 0.670 0.485
0.330 0.515 0.921
0.485 0.079 0.670
0.515 0.921 0.330
0.670 0.485 0.079
0.921 0.330 0.515
0.130 0.130 0.130
0.870 0.870 0.870
0.335 0.335 0.335
0.665 0.665 0.665
```

Calculated values
uncorrected energy: -69.1 eV/cell
formation energy without anion corrections: -620 meV/atom
density: 4.4 g/cm³
calculated volume: 23.5 Å³/atom

=====

(2)
Here is LiCa2Br after structural relaxation from Alexandria. Energies are from PBE-GGA.

The structure in POSCAR format:
```
LiCa2Br
1.0
3.419 -1.974 0.000
3.419 1.974 0.000
-2.289 0.000 9.360
Li Ca Br
1 2 1
direct
0.000 0.000 0.000
0.245 0.245 0.738
0.755 0.755 0.262
0.500 0.500 0.500
```

Calculated values
polymorph energy (0 for the lowest one): 11.8 meV/atom
uncorrected energy: -10.1 eV/cell
formation energy without anion corrections: -625 meV/atom
density: 2.2 g/cm³
calculated volume: 31.6 Å³/atom

=====

(3)
Here is CdCuW after structural relaxation from Alexandria. Energies are from PBE-GGA.

The structure in POSCAR format:
```
CdCuW
1.0
0.000 2.987 2.987
2.987 0.000 2.987
2.987 2.987 0.000
Cd Cu W
1 1 1
direct
0.000 0.000 0.000
0.750 0.750 0.750
0.500 0.500 0.500
```

Calculated values
polymorph energy (0 for the lowest one): 665.6 meV/atom
uncorrected energy: -14.8 eV/cell
energy of formation from the pure elements: 1.053 eV/atom
density: 11.2 g/cm³
calculated volume: 17.8 Å³/atom